# 1
Computed, not measured: SrSn3Pd after structural relaxation at the PBE level of DFT.

Structure (POSCAR):
```
SrSn3Pd
1.0
-3.374 -2.478 -4.145
0.655 -5.244 2.603
-4.785 1.030 3.279
Sn Pd Sr
3 1 1
Direct
0.500 0.000 0.000
0.000 0.500 0.000
0.000 0.000 0.500
0.500 0.500 0.500
0.000 0.000 0.000
```

## Properties
Calculated volume: 40.89 A^3/atom
Total DFT energy (no corrections): -2.59 eV/atom
Energy of formation from the pure elements: 114.9 kJ/mol of atoms
Crystal system: cubic


# 2
Computed, not measured: Sr6SnPd3 after structural relaxation at the PBE level of DFT.

Structure (POSCAR):
```
Sr6SnPd3
1.0
4.901 0.000 0.000
0.000 10.566 -4.202
0.000 -0.013 13.297
Pd Sr Sn
6 12 2
Direct
0.750 0.372 0.826
0.750 0.089 0.031
0.250 0.303 0.466
0.250 0.911 0.969
0.750 0.697 0.534
0.250 0.628 0.174
0.750 0.112 0.429
0.750 0.737 0.323
0.250 0.523 0.390
0.750 0.477 0.610
0.750 0.419 0.081
0.250 0.147 0.902
0.250 0.888 0.571
0.750 0.847 0.805
0.250 0.581 0.919
0.250 0.263 0.677
0.250 0.153 0.195
0.750 0.853 0.098
0.250 0.908 0.290
0.750 0.092 0.710
```

## Properties
Calculated volume: 34.41 A^3/atom
Total DFT energy (no corrections): -3.45 eV/atom
Energy of formation from the pure elements: -47.0 kJ/mol of atoms
Crystal system: monoclinic


# 3
Computed, not measured: SrSn3Pd after structural relaxation at the PBE level of DFT.

Structure (POSCAR):
```
SrSn3Pd
1.0
-4.437 -1.953 2.192
2.513 -0.471 4.666
-1.519 4.926 1.316
Sr Sn Pd
1 3 1
Direct
0.500 0.500 0.500
0.500 0.000 0.000
0.000 0.500 0.000
0.000 0.000 0.500
0.000 0.000 0.000
```

## Properties
Calculated volume: 30.12 A^3/atom
Total DFT energy (no corrections): -4.03 eV/atom
Energy of formation from the pure elements: -24.1 kJ/mol of atoms
Crystal system: cubic


# 4
Computed, not measured: SrSn2Pd5 after structural relaxation at the PBE level of DFT.

Structure (POSCAR):
```
SrSn2Pd5
1.0
-0.166 -2.857 -2.894
6.212 -0.243 -2.979
4.048 -5.196 2.035
Pd Sn Sr
5 2 1
Direct
0.635 0.558 0.173
0.365 0.827 0.442
0.635 0.173 0.558
0.000 0.500 0.500
0.365 0.442 0.827
0.243 0.257 0.257
0.757 0.743 0.743
0.000 0.000 0.000
```

## Properties
Calculated volume: 20.47 A^3/atom
Total DFT energy (no corrections): -5.01 eV/atom
Energy of formation from the pure elements: -53.2 kJ/mol of atoms
Crystal system: orthorhombic


# 5
Computed, not measured: Sr2Sn8Pd after structural relaxation at the PBE level of DFT.

Structure (POSCAR):
```
Sr2Sn8Pd
1.0
4.847 0.000 0.000
0.000 4.847 0.000
0.000 0.000 12.823
Sn Sr Pd
8 2 1
Direct
0.000 0.500 0.500
0.500 0.500 0.312
0.500 0.000 0.880
0.000 0.500 0.880
0.500 0.000 0.500
0.500 0.500 0.688
0.500 0.000 0.120
0.000 0.500 0.120
0.000 0.000 0.692
0.000 0.000 0.308
0.000 0.000 0.000
```

## Properties
Calculated volume: 27.39 A^3/atom
Total DFT energy (no corrections): -4.06 eV/atom
Energy of formation from the pure elements: -35.4 kJ/mol of atoms
Crystal system: tetragonal


# 6
Computed, not measured: Sr2SnPd after structural relaxation at the PBE level of DFT.

Structure (POSCAR):
```
Sr2SnPd
1.0
-6.353 -5.451 -2.291
3.138 -5.957 5.476
-3.554 -4.469 4.052
Sr Pd Sn
4 2 2
Direct
0.170 0.625 0.250
0.875 0.830 0.750
0.375 0.420 0.750
0.580 0.125 0.250
0.500 0.500 0.000
0.250 0.750 0.500
0.000 0.000 0.000
0.750 0.250 0.500
```

## Properties
Calculated volume: 31.74 A^3/atom
Total DFT energy (no corrections): -3.43 eV/atom
Energy of formation from the pure elements: -27.6 kJ/mol of atoms
Crystal system: tetragonal


Repeat the second record exactly.
Computed, not measured: Sr6SnPd3 after structural relaxation at the PBE level of DFT.

Structure (POSCAR):
```
Sr6SnPd3
1.0
4.901 0.000 0.000
0.000 10.566 -4.202
0.000 -0.013 13.297
Pd Sr Sn
6 12 2
Direct
0.750 0.372 0.826
0.750 0.089 0.031
0.250 0.303 0.466
0.250 0.911 0.969
0.750 0.697 0.534
0.250 0.628 0.174
0.750 0.112 0.429
0.750 0.737 0.323
0.250 0.523 0.390
0.750 0.477 0.610
0.750 0.419 0.081
0.250 0.147 0.902
0.250 0.888 0.571
0.750 0.847 0.805
0.250 0.581 0.919
0.250 0.263 0.677
0.250 0.153 0.195
0.750 0.853 0.098
0.250 0.908 0.290
0.750 0.092 0.710
```

## Properties
Calculated volume: 34.41 A^3/atom
Total DFT energy (no corrections): -3.45 eV/atom
Energy of formation from the pure elements: -47.0 kJ/mol of atoms
Crystal system: monoclinic


Repeat the fourth record exactly.
Computed, not measured: SrSn2Pd5 after structural relaxation at the PBE level of DFT.

Structure (POSCAR):
```
SrSn2Pd5
1.0
-0.166 -2.857 -2.894
6.212 -0.243 -2.979
4.048 -5.196 2.035
Pd Sn Sr
5 2 1
Direct
0.635 0.558 0.173
0.365 0.827 0.442
0.635 0.173 0.558
0.000 0.500 0.500
0.365 0.442 0.827
0.243 0.257 0.257
0.757 0.743 0.743
0.000 0.000 0.000
```

## Properties
Calculated volume: 20.47 A^3/atom
Total DFT energy (no corrections): -5.01 eV/atom
Energy of formation from the pure elements: -53.2 kJ/mol of atoms
Crystal system: orthorhombic


Q: What is the formula in the first record?
A: SrSn3Pd